# TaRu2Se

TaRu2Se after structural relaxation (PBE, Alexandria).

The value obtained for the density is 12.6 g/cm3. The value obtained for the uncorrected formation energy is -3 kJ/mol of atoms.

extended XYZ file:
```
4
Lattice="-1.500 2.250 4.507 1.500 -2.250 4.507 1.500 2.250 -4.507" Properties=species:S:1:pos:R:3 pbc="T T T"
Ta 0.000 0.000 0.000
Ru 1.500 0.000 2.470
Ru 0.000 2.250 2.038
Se 0.000 0.000 4.507
```

# TaRuSe2

TaRuSe2 after structural relaxation (PBE, Alexandria).

The value obtained for the density is 7.6 g/cm3. The value obtained for the uncorrected formation energy is -38 kJ/mol of atoms. As for the energy above the most stable polymorph in this dataset: 0 meV/atom.

extended XYZ file:
```
4
Lattice="3.886 0.000 0.000 0.000 3.814 0.000 -0.033 0.000 6.460" Properties=species:S:1:pos:R:3 pbc="T T T"
Ta 0.000 0.000 0.000
Ru 1.911 1.907 6.436
Se 1.942 0.000 1.707
Se 3.855 1.907 4.721
```